VASP calculation (GGA-PBE) on an optimized crystal structure of BaOs.

abc: 4.332 11.200 9.311
angles: 90.00 90.00 90.00
Space group Pmmn (No. 59, origin choice 2)
Symmetry-distinct sites (fractional):
Ba  0.250  0.081  0.202
Ba  0.250  0.250  0.650
Os  0.250  0.550  0.519
Os  0.250  0.750  0.617

formation enthalpy at 0 K	306	meV/atom
density	7.2	g/cm³
size of the total moment	0.0	μB/f.u.



VASP calculation (GGA-PBE) on an optimized crystal structure of BaOs.

abc: 3.2547 3.2547 5.2413
angles: 90.00 90.00 120.00
Space group P-6m2 (No. 187)
Symmetry-distinct sites (fractional):
Ba  0.0000  0.0000  0.0000
Os  0.3333  0.6667  0.5000

formation enthalpy at 0 K	1626	meV/atom
density	11.3	g/cm³
size of the total moment	0.4	μB/f.u.



VASP calculation (GGA-PBE) on an optimized crystal structure of BaOs3.

abc: 2.948 2.948 8.736
angles: 90.00 90.00 90.00
Space group P4/mmm (No. 123)
Symmetry-distinct sites (fractional):
Ba  0.000  0.000  0.000
Os  0.000  0.000  0.500
Os  0.500  0.500  0.309

formation enthalpy at 0 K	886	meV/atom
density	15.5	g/cm³
ΔE to the lowest computed polymorph	451	meV per atom
size of the total moment	0.0	μB/f.u.



VASP calculation (GGA-PBE) on an optimized crystal structure of Ba8Os.

abc: 15.033 15.033 4.317
angles: 90.00 90.00 90.00
Space group I4/mmm (No. 139)
Symmetry-distinct sites (fractional):
Ba  0.000  0.335  0.000
Ba  0.123  0.123  0.500
Os  0.000  0.000  0.000

formation enthalpy at 0 K	342	meV/atom
density	4.4	g/cm³
size of the total moment	0.0	μB/f.u.



VASP calculation (GGA-PBE) on an optimized crystal structure of BaOs4.

abc: 4.503 4.503 10.188
angles: 90.00 90.00 90.00
Space group I4/mmm (No. 139)
Symmetry-distinct sites (fractional):
Ba  0.000  0.000  0.000
Os  0.000  0.000  0.362
Os  0.000  0.500  0.250

formation enthalpy at 0 K	581	meV/atom
density	14.4	g/cm³
ΔE to the lowest computed polymorph	0	meV per atom
size of the total moment	0.0	μB/f.u.



VASP calculation (GGA-PBE) on an optimized crystal structure of BaOs4.

abc: 4.888 4.888 4.888
angles: 90.00 90.00 90.00
Space group Pm-3m (No. 221)
Symmetry-distinct sites (fractional):
Ba  0.000  0.000  0.000
Os  0.000  0.000  0.500
Os  0.500  0.500  0.500

formation enthalpy at 0 K	4395	meV/atom
density	12.8	g/cm³
ΔE to the lowest computed polymorph	3814	meV per atom
size of the total moment	4.4	μB/f.u.



VASP calculation (GGA-PBE) on an optimized crystal structure of BaOs.

abc: 6.466 6.466 6.466
angles: 90.00 90.00 90.00
Space group Fm-3m (No. 225)
Symmetry-distinct sites (fractional):
Ba  0.000  0.000  0.000
Os  0.000  0.000  0.500

formation enthalpy at 0 K	1858	meV/atom
density	8.0	g/cm³
size of the total moment	2.0	μB/f.u.



VASP calculation (GGA-PBE) on an optimized crystal structure of BaOs.

abc: 3.791 3.791 3.791
angles: 90.00 90.00 90.00
Space group Pm-3m (No. 221)
Symmetry-distinct sites (fractional):
Ba  0.000  0.000  0.000
Os  0.500  0.500  0.500

formation enthalpy at 0 K	1540	meV/atom
density	10.0	g/cm³
size of the total moment	1.3	μB/f.u.



VASP calculation (GGA-PBE) on an optimized crystal structure of BaOs3.

abc: 2.8809 2.8809 30.9422
angles: 90.00 90.00 120.00
Space group R-3m (No. 166, hexagonal axes)
Symmetry-distinct sites (fractional):
Ba  0.0000  0.0000  0.0000
Os  0.0000  0.0000  0.2345
Os  0.0000  0.0000  0.5000

formation enthalpy at 0 K	1081	meV/atom
density	15.9	g/cm³
ΔE to the lowest computed polymorph	646	meV per atom
size of the total moment	0.0	μB/f.u.



VASP calculation (GGA-PBE) on an optimized crystal structure of BaOs.

abc: 6.838 6.838 6.156
angles: 90.00 90.00 90.00
Space group P4_2/mnm (No. 136)
Symmetry-distinct sites (fractional):
Ba  0.194  0.194  0.000
Os  0.118  0.118  0.500

formation enthalpy at 0 K	1256	meV/atom
density	7.6	g/cm³
size of the total moment	0.9	μB/f.u.



VASP calculation (GGA-PBE) on an optimized crystal structure of BaOs3.

abc: 7.738 12.213 4.386
angles: 90.00 90.00 90.00
Space group Cmcm (No. 63)
Symmetry-distinct sites (fractional):
Ba  0.000  0.159  0.250
Os  0.000  0.371  0.750
Os  0.167  0.453  0.250

formation enthalpy at 0 K	1039	meV/atom
density	11.3	g/cm³
ΔE to the lowest computed polymorph	603	meV per atom
size of the total moment	0.4	μB/f.u.



VASP calculation (GGA-PBE) on an optimized crystal structure of BaOs3.

abc: 2.9073 2.9073 10.1385
angles: 90.00 90.00 120.00
Space group P-6m2 (No. 187)
Symmetry-distinct sites (fractional):
Ba  0.0000  0.0000  0.0000
Os  0.0000  0.0000  0.5000
Os  0.6667  0.3333  0.2978

formation enthalpy at 0 K	1007	meV/atom
density	15.8	g/cm³
ΔE to the lowest computed polymorph	572	meV per atom
size of the total moment	0.0	μB/f.u.



VASP calculation (GGA-PBE) on an optimized crystal structure of BaOs3.

abc: 6.686 6.686 6.686
angles: 90.00 90.00 90.00
Space group Fm-3m (No. 225)
Symmetry-distinct sites (fractional):
Ba  0.000  0.000  0.000
Os  0.000  0.000  0.500
Os  0.250  0.250  0.250

formation enthalpy at 0 K	1704	meV/atom
density	15.7	g/cm³
ΔE to the lowest computed polymorph	1268	meV per atom
size of the total moment	2.1	μB/f.u.



VASP calculation (GGA-PBE) on an optimized crystal structure of BaOs3.

abc: 2.882 5.262 10.312
angles: 90.00 90.00 90.00
Space group Immm (No. 71)
Symmetry-distinct sites (fractional):
Ba  0.000  0.000  0.000
Os  0.000  0.000  0.500
Os  0.000  0.500  0.212

formation enthalpy at 0 K	1262	meV/atom
density	15.0	g/cm³
ΔE to the lowest computed polymorph	827	meV per atom
size of the total moment	0.0	μB/f.u.



VASP calculation (GGA-PBE) on an optimized crystal structure of BaOs.

abc: 4.109 19.408 5.014
angles: 90.00 90.00 90.00
Space group Cmmm (No. 65)
Symmetry-distinct sites (fractional):
Ba  0.000  0.000  0.000
Ba  0.000  0.342  0.500
Os  0.000  0.221  0.000
Os  0.000  0.500  0.500

formation enthalpy at 0 K	857	meV/atom
density	8.2	g/cm³
size of the total moment	0.3	μB/f.u.



VASP calculation (GGA-PBE) on an optimized crystal structure of BaOs4.

abc: 8.030 8.030 2.815
angles: 90.00 90.00 90.00
Space group I4/m (No. 87)
Symmetry-distinct sites (fractional):
Ba  0.000  0.000  0.000
Os  0.141  0.358  0.500

formation enthalpy at 0 K	769	meV/atom
density	16.4	g/cm³
ΔE to the lowest computed polymorph	188	meV per atom
size of the total moment	0.0	μB/f.u.



VASP calculation (GGA-PBE) on an optimized crystal structure of BaOs3.

abc: 5.213 5.213 5.213
angles: 90.00 90.00 90.00
Space group Pm-3m (No. 221)
Symmetry-distinct sites (fractional):
Ba  0.000  0.000  0.000
Os  0.000  0.000  0.500

formation enthalpy at 0 K	4834	meV/atom
density	8.3	g/cm³
ΔE to the lowest computed polymorph	4399	meV per atom
size of the total moment	5.8	μB/f.u.



VASP calculation (GGA-PBE) on an optimized crystal structure of BaOs5.

abc: 11.946 2.805 6.878
angles: 90.00 90.06 90.00
Space group Cm (No. 8)
Symmetry-distinct sites (fractional):
Ba  0.000  0.000  0.000
Os  0.073  0.000  0.500
Os  0.229  0.500  0.312
Os  0.229  0.500  0.689
Os  0.259  0.000  0.001
Os  0.382  0.000  0.501

formation enthalpy at 0 K	614	meV/atom
density	15.7	g/cm³
ΔE to the lowest computed polymorph	0	meV per atom
size of the total moment	0.0	μB/f.u.



VASP calculation (GGA-PBE) on an optimized crystal structure of BaOs3.

abc: 9.4861 9.4861 2.8689
angles: 90.00 90.00 120.00
Space group R-3m (No. 166, hexagonal axes)
Symmetry-distinct sites (fractional):
Ba  0.0000  0.0000  0.0000
Os  0.0000  0.5000  0.0000

formation enthalpy at 0 K	1717	meV/atom
density	15.8	g/cm³
ΔE to the lowest computed polymorph	1281	meV per atom
size of the total moment	1.4	μB/f.u.



VASP calculation (GGA-PBE) on an optimized crystal structure of BaOs3.

abc: 6.125 8.477 2.842
angles: 90.00 90.00 90.00
Space group Cmmm (No. 65)
Symmetry-distinct sites (fractional):
Ba  0.000  0.000  0.000
Os  0.000  0.500  0.000
Os  0.250  0.250  0.500

formation enthalpy at 0 K	1600	meV/atom
density	15.9	g/cm³
ΔE to the lowest computed polymorph	1165	meV per atom
size of the total moment	0.0	μB/f.u.